## TiAgF6 (PBE-GGA)

Data for a relaxed structure of TiAgF6.

Lattice parameters (Å, degrees): 5.183 5.183 5.260 69.05 69.05 67.69
Element x y z (fractional)
F: 0.165 0.696 0.287
Ti: 0.000 0.000 0.000
F: 0.835 0.304 0.713
F: 0.304 0.835 0.713
F: 0.222 0.222 0.967
F: 0.778 0.778 0.033
Ag: 0.500 0.500 0.500
F: 0.696 0.165 0.287

## Properties
* space group: No. 12
* formation energy (no corrections): -2.505 eV/atom
* magnetic moment: 0.96 μB/f.u.

=====

## TiTl2AgF6 (PBE-GGA)

Data for a relaxed structure of TiTl2AgF6.

Lattice parameters (Å, degrees): 6.357 6.301 8.923 90.00 90.00 90.00
Element x y z (fractional)
F: 0.500 0.237 0.721
F: 0.280 0.026 0.500
Tl: 0.000 0.249 0.251
Tl: 0.000 0.249 0.749
F: 0.719 0.457 0.500
Ti: 0.500 0.241 0.500
F: 0.500 0.237 0.279
F: 0.780 0.974 0.000
F: 0.720 0.026 0.500
Ag: 0.000 0.739 0.500
F: 0.781 0.543 0.000
F: 0.000 0.763 0.779
F: 0.219 0.543 0.000
F: 0.000 0.763 0.221
Ag: 0.500 0.261 0.000
Tl: 0.500 0.751 0.751
Ti: 0.000 0.759 0.000
F: 0.281 0.457 0.500
F: 0.220 0.974 0.000
Tl: 0.500 0.751 0.249

## Properties
* space group: No. 59
* formation energy (no corrections): -2.272 eV/atom
* magnetic moment: 0.67 μB/f.u.

=====

Number 1: calculated density 3.80 g cm⁻³. Number 2: calculated density 6.30 g cm⁻³.